Below is a relaxed structure of TlGeF3, with properties calculated at the PBE level.

## Properties
E	-4.556	eV per atom
magnetization	0.00	μB/f.u.

Cell: 4.886 6.022 7.365 Å, 90.00 104.80 90.00°
Positions (direct):
Tl: 0.172 0.250 0.314
Tl: 0.828 0.750 0.686
Ge: 0.420 0.250 0.860
Ge: 0.580 0.750 0.140
F: 0.205 0.750 0.158
F: 0.314 0.027 0.675
F: 0.314 0.473 0.675
F: 0.686 0.527 0.325
F: 0.686 0.973 0.325
F: 0.795 0.250 0.842